No. 1
Computed, not measured: a relaxed Ce6Cd2In crystal at the GGA-PBE level of DFT.

Output
space group = P6/mmm
ΔH_f (0 K) = -0.130 eV per atom
theoretical density = 8.9 g/cm3
volume = 24.59 A^3/atom

Cell lengths 3.0246, 9.1923, 9.1923 Å; angles 120.00, 90.00, 90.00 degrees
Each line ends with the local moment (μB).
Positions (direct):
Cd (0.0000, 0.6667, 0.3333)  0.00
Cd (0.0000, 0.3333, 0.6667)  0.00
Ce (0.5000, 0.0000, 0.6649)  0.50
Ce (0.5000, 0.6649, 0.6649)  0.50
Ce (0.5000, 0.3351, 0.0000)  0.50
Ce (0.5000, 0.0000, 0.3351)  0.50
Ce (0.5000, 0.6649, 0.0000)  0.50
Ce (0.5000, 0.3351, 0.3351)  0.50
In (0.0000, 0.0000, 0.0000)  -0.01

No. 2
Computed, not measured: a relaxed Na2ThTe4Pb crystal at the GGA-PBE level of DFT.

Output
space group = P2/m
theoretical density = 6.0 g/cm3
formation energy (no corrections) = -0.95 eV per atom
volume = 34.49 A^3/atom

Cell lengths 4.5988, 8.0130, 7.9190 Å; angles 108.99, 90.00, 90.00 degrees
Positions (direct):
Te (0.0000, 0.2638, 0.7630)
Te (0.5000, 0.7403, 0.7594)
Te (0.5000, 0.2597, 0.2406)
Te (0.0000, 0.7362, 0.2370)
Th (0.5000, 0.5000, 0.0000)
Na (0.0000, 0.5000, 0.5000)
Na (0.5000, 0.0000, 0.5000)
Pb (0.0000, 0.0000, 0.0000)

No. 3
Computed, not measured: a relaxed CuNiSnS4 crystal at the GGA-PBE level of DFT.

Output
space group = Imma
theoretical density = 4.7 g/cm3
formation energy (no corrections) = -0.32 eV per atom
volume = 18.47 A^3/atom

Cell lengths 7.1355, 7.1321, 7.1321 Å; angles 61.02, 59.98, 59.98 degrees
Positions (direct):
Ni (0.0000, 0.0000, 0.5000)
Ni (0.5000, 0.0000, 0.5000)
S (0.2536, 0.2180, 0.2748)
S (0.7636, 0.2322, 0.7322)
S (0.7280, 0.7678, 0.2678)
S (0.2364, 0.7678, 0.2678)
S (0.2720, 0.2322, 0.7322)
S (0.2536, 0.7748, 0.7180)
S (0.7464, 0.2252, 0.2820)
S (0.7464, 0.7820, 0.7252)
Sn (0.0000, 0.0000, 0.0000)
Sn (0.0000, 0.5000, 0.5000)
Cu (0.3646, 0.3854, 0.8854)
Cu (0.6354, 0.6146, 0.1146)

No. 4
Computed, not measured: a relaxed Li4NdTm3Se8 crystal at the GGA-PBE level of DFT.

Output
space group = R-3m
theoretical density = 5.8 g/cm3
formation energy (no corrections) = -1.68 eV per atom
volume = 23.29 A^3/atom

Cell lengths 8.1372, 8.0226, 8.1360 Å; angles 120.50, 120.00, 90.00 degrees
Positions (direct):
Li (0.5000, 0.0000, 0.5000)
Li (0.0000, 0.0000, 0.5000)
Li (0.0000, 0.0000, 0.0000)
Li (0.5000, 0.0000, 0.0000)
Tm (0.5000, 0.5000, 0.5000)
Tm (0.5000, 0.5000, 0.0000)
Tm (0.0000, 0.5000, 0.5000)
Se (0.7413, 0.7538, 0.9977)
Se (0.7436, 0.2462, 0.4872)
Se (0.7436, 0.2462, 0.0023)
Se (0.7497, 0.7489, 0.4995)
Se (0.2587, 0.2462, 0.0023)
Se (0.2503, 0.2511, 0.5005)
Se (0.2564, 0.7538, 0.9977)
Se (0.2564, 0.7538, 0.5128)
Nd (0.0000, 0.5000, 0.0000)

No. 5
Computed, not measured: a relaxed Nd8NiGe3I4 crystal at the GGA-PBE level of DFT.

Output
space group = R-3m
theoretical density = 6.4 g/cm3
formation energy (no corrections) = -0.91 eV per atom
volume = 31.27 A^3/atom

Cell lengths 8.6767, 9.1654, 8.6770 Å; angles 118.27, 120.00, 90.00 degrees
Positions (direct):
Ge (0.0000, 0.5000, 0.5000)
Ge (0.5000, 0.5000, 0.5000)
Ge (0.5000, 0.5000, 0.0000)
I (0.5000, 0.0000, 0.0000)
I (0.5000, 0.0000, 0.5000)
I (0.0000, 0.0000, 0.0000)
I (0.0000, 0.0000, 0.5000)
Nd (0.7754, 0.3050, 0.0296)
Nd (0.2657, 0.2973, 0.5315)
Nd (0.7343, 0.7027, 0.4685)
Nd (0.7458, 0.6950, 0.9704)
Nd (0.7746, 0.3043, 0.5492)
Nd (0.2246, 0.6950, 0.9704)
Nd (0.2254, 0.6957, 0.4508)
Nd (0.2542, 0.3050, 0.0296)
Ni (0.0000, 0.5000, 0.0000)

No. 6
Computed, not measured: a relaxed SrCu2HgF8 crystal at the GGA-PBE level of DFT.

Output
space group = I-4
theoretical density = 5.4 g/cm3
formation energy (no corrections) = -2.05 eV per atom
volume = 14.44 A^3/atom

Cell lengths 5.6363, 5.6363, 6.7543 Å; angles 114.66, 114.66, 90.00 degrees
Each line ends with the local moment (μB).
Positions (direct):
F (0.5973, 0.6718, 0.6126)  0.07
F (0.0153, 0.9408, 0.6126)  0.07
F (0.1586, 0.5956, 0.8921)  0.07
F (0.3282, 0.9847, 0.3874)  0.07
F (0.7035, 0.8414, 0.1079)  0.07
F (0.0592, 0.4027, 0.3874)  0.07
F (0.4044, 0.2665, 0.1079)  0.07
F (0.7335, 0.2965, 0.8921)  0.07
Hg (0.0000, 0.0000, 0.0000)  0.02
Sr (0.7500, 0.2500, 0.5000)  0.00
Cu (0.5000, 0.5000, 0.0000)  0.69
Cu (0.2500, 0.7500, 0.5000)  0.73

No. 7
Computed, not measured: a relaxed ErBe2Zn9 crystal at the GGA-PBE level of DFT.

Output
space group = I4_1/amd
ΔH_f (0 K) = -0.134 eV per atom
theoretical density = 7.4 g/cm3
volume = 14.46 A^3/atom

Cell lengths 6.5697, 7.9747, 7.9747 Å; angles 80.23, 65.68, 65.68 degrees
Positions (direct):
Er (0.5000, 0.0000, 0.0000)
Er (0.2500, 0.5000, 0.5000)
Zn (0.0691, 0.3219, 0.9215)
Zn (0.6809, 0.5785, 0.1781)
Zn (0.3126, 0.0785, 0.6781)
Zn (0.4374, 0.4215, 0.8219)
Zn (0.0094, 0.9215, 0.6781)
Zn (0.0691, 0.9215, 0.3219)
Zn (0.7500, 0.5000, 0.5000)
Zn (0.1410, 0.4215, 0.1781)
Zn (0.6809, 0.1781, 0.5785)
Zn (0.0000, 0.0000, 0.0000)
Zn (0.6090, 0.3219, 0.0785)
Zn (0.6090, 0.0785, 0.3219)
Zn (0.0094, 0.6781, 0.9215)
Zn (0.1410, 0.1781, 0.4215)
Zn (0.7406, 0.5785, 0.8219)
Zn (0.3126, 0.6781, 0.0785)
Zn (0.4374, 0.8219, 0.4215)
Zn (0.7406, 0.8219, 0.5785)
Be (0.8750, 0.2500, 0.7500)
Be (0.8750, 0.2500, 0.2500)
Be (0.3750, 0.7500, 0.7500)
Be (0.8750, 0.7500, 0.2500)

No. 8
Computed, not measured: a relaxed TiSiNi crystal at the GGA-PBE level of DFT.

Output
space group = I4mm
theoretical density = 5.8 g/cm3
formation energy (no corrections) = -0.55 eV per atom
volume = 12.92 A^3/atom

Cell lengths 2.7789, 2.7789, 5.3910 Å; angles 104.94, 104.94, 90.00 degrees
Positions (direct):
Si (0.9331, 0.9331, 0.8662)
Ti (0.6128, 0.6128, 0.2257)
Ni (0.3041, 0.3041, 0.6082)

No. 9
Computed, not measured: a relaxed Na3SbF crystal at the GGA-PBE level of DFT.

Output
space group = Pm-3m
energy relative to the lowest polymorph listed for this composition = 698 meV per atom
theoretical density = 1.7 g/cm3
formation energy (no corrections) = -0.54 eV per atom
volume = 40.65 A^3/atom

Cell lengths 5.8793, 5.8793, 5.8793 Å; angles 90.00, 90.00, 90.00 degrees
Each line ends with the local moment (μB).
Positions (direct):
F (0.5000, 0.5000, 0.5000)  0.09
Sb (0.0000, 0.0000, 0.0000)  0.30
Na (0.0000, 0.0000, 0.5000)  0.02
Na (0.5000, 0.0000, 0.0000)  0.00
Na (0.0000, 0.5000, 0.0000)  0.01

No. 10
Computed, not measured: a relaxed ZnPdRh crystal at the GGA-PBE level of DFT.

Output
space group = C2
ΔH_f (0 K) = -0.239 eV per atom
energy relative to the lowest polymorph listed for this composition = 24 meV per atom
theoretical density = 10.5 g/cm3
volume = 14.47 A^3/atom

Cell lengths 4.6732, 8.2340, 4.7603 Å; angles 90.00, 108.58, 90.00 degrees
Positions (direct):
Zn (0.5000, 0.2807, 0.0000)
Zn (0.5000, 0.7807, 0.5000)
Zn (0.5000, 0.6163, 0.0000)
Zn (0.5000, 0.1163, 0.5000)
Pd (0.0000, 0.6208, 0.5000)
Pd (0.0000, 0.4548, 0.0000)
Pd (0.0000, 0.9548, 0.5000)
Pd (0.0000, 0.1208, 0.0000)
Rh (0.5000, 0.4435, 0.5000)
Rh (0.5000, 0.9435, 0.0000)
Rh (0.0000, 0.2900, 0.5000)
Rh (0.0000, 0.7900, 0.0000)

No. 11
Computed, not measured: a relaxed Zn2BTePd crystal at the GGA-PBE level of DFT.

Output
space group = P4/mmm
theoretical density = 4.5 g/cm3
formation energy (no corrections) = 1.38 eV per atom
volume = 27.52 A^3/atom

Cell lengths 5.2427, 5.0067, 5.2427 Å; angles 90.00, 90.00, 90.00 degrees
Positions (direct):
Zn (0.5000, 0.0000, 0.0000)
Zn (0.0000, 0.0000, 0.5000)
Pd (0.0000, 0.5000, 0.0000)
Te (0.0000, 0.0000, 0.0000)
B (0.5000, 0.5000, 0.5000)

No. 12
Computed, not measured: a relaxed Na2NiHgN crystal at the GGA-PBE level of DFT.

Output
space group = P4/mmm
theoretical density = 5.8 g/cm3
formation energy (no corrections) = -0.13 eV per atom
volume = 18.43 A^3/atom

Cell lengths 5.1410, 5.1410, 3.4862 Å; angles 90.00, 90.00, 90.00 degrees
Positions (direct):
Hg (0.5000, 0.5000, 0.5000)
N (0.0000, 0.0000, 0.0000)
Na (0.5000, 0.0000, 0.0000)
Na (0.0000, 0.5000, 0.0000)
Ni (0.0000, 0.0000, 0.5000)

No. 13
Computed, not measured: a relaxed LuPtF7 crystal at the GGA-PBE level of DFT.

Output
space group = P2_1/c
theoretical density = 6.7 g/cm3
formation energy (no corrections) = -2.59 eV per atom
volume = 13.89 A^3/atom

Cell lengths 5.4637, 8.7111, 11.8082 Å; angles 62.81, 90.00, 90.00 degrees
Positions (direct):
F (0.0602, 0.2991, 0.5848)
F (0.2464, 0.0195, 0.0514)
F (0.9521, 0.7483, 0.1773)
F (0.4635, 0.7247, 0.1391)
F (0.2767, 0.5249, 0.3563)
F (0.9635, 0.2753, 0.3609)
F (0.5365, 0.2753, 0.8609)
F (0.7233, 0.4751, 0.6437)
F (0.0365, 0.7247, 0.6391)
F (0.0646, 0.7235, 0.9554)
F (0.4202, 0.0281, 0.7668)
F (0.9398, 0.7009, 0.4152)
F (0.4521, 0.2517, 0.3227)
F (0.7767, 0.4751, 0.1437)
F (0.2233, 0.5249, 0.8563)
F (0.5602, 0.7009, 0.9152)
F (0.2536, 0.0195, 0.5514)
F (0.7464, 0.9805, 0.4486)
F (0.9202, 0.9719, 0.7332)
F (0.0479, 0.2517, 0.8227)
F (0.4398, 0.2991, 0.0848)
F (0.9354, 0.2765, 0.0446)
F (0.5646, 0.2765, 0.5446)
F (0.0798, 0.0281, 0.2668)
F (0.5798, 0.9719, 0.2332)
F (0.4354, 0.7235, 0.4554)
F (0.5479, 0.7483, 0.6773)
F (0.7536, 0.9805, 0.9486)
Lu (0.2610, 0.8153, 0.2645)
Lu (0.7610, 0.1847, 0.2355)
Lu (0.2390, 0.8153, 0.7645)
Lu (0.7390, 0.1847, 0.7355)
Pt (0.2405, 0.2720, 0.9566)
Pt (0.2595, 0.2720, 0.4566)
Pt (0.7405, 0.7280, 0.5434)
Pt (0.7595, 0.7280, 0.0434)

No. 14
Computed, not measured: a relaxed Mg2TaMo crystal at the GGA-PBE level of DFT.

Output
space group = Cmmm
ΔH_f (0 K) = 0.320 eV per atom
energy relative to the lowest polymorph listed for this composition = 171 meV per atom
theoretical density = 7.5 g/cm3
volume = 18.01 A^3/atom

Cell lengths 2.7633, 2.7633, 9.7529 Å; angles 90.00, 90.00, 104.68 degrees
Positions (direct):
Mo (0.5000, 0.5000, 0.2500)
Ta (0.5000, 0.5000, 0.7500)
Mg (0.0000, 0.0000, 0.0097)
Mg (0.0000, 0.0000, 0.4903)

No. 15
Computed, not measured: a relaxed LiC8 crystal at the GGA-PBE level of DFT.

Output
space group = C2/m
ΔH_f (0 K) = 1.428 eV per atom
theoretical density = 1.0 g/cm3
volume = 18.94 A^3/atom

Cell lengths 8.2662, 8.2662, 8.1446 Å; angles 89.63, 89.63, 162.15 degrees
Positions (direct):
C (0.6840, 0.1370, 0.5904)
C (0.3160, 0.8630, 0.4096)
C (0.8630, 0.3160, 0.4096)
C (0.2499, 0.7501, 0.0000)
C (0.2502, 0.2502, 0.5000)
C (0.7501, 0.2499, 0.0000)
C (0.7498, 0.7498, 0.5000)
C (0.1370, 0.6840, 0.5904)
Li (0.0000, 0.0000, 0.0000)

No. 16
Computed, not measured: a relaxed Ca2CuTcO6 crystal at the GGA-PBE level of DFT.

Output
space group = P2_1/c
theoretical density = 4.7 g/cm3
formation energy (no corrections) = -1.90 eV per atom
volume = 11.83 A^3/atom

Cell lengths 5.4396, 5.7829, 7.5196 Å; angles 90.00, 89.59, 90.00 degrees
Each line ends with the local moment (μB).
Positions (direct):
O (0.3283, 0.7161, 0.4441)  0.01
O (0.2908, 0.6764, 0.0483)  0.00
O (0.8997, 0.5357, 0.2461)  0.02
O (0.7092, 0.3236, 0.9517)  0.00
O (0.8283, 0.7839, 0.9441)  0.01
O (0.1003, 0.4643, 0.7539)  0.02
O (0.6717, 0.2839, 0.5559)  0.01
O (0.6003, 0.0357, 0.2539)  0.02
O (0.7908, 0.8236, 0.5483)  0.00
O (0.2092, 0.1764, 0.4517)  0.00
O (0.1717, 0.2161, 0.0559)  0.01
O (0.3997, 0.9643, 0.7461)  0.02
Cu (0.5000, 0.0000, 0.0000)  0.19
Cu (0.0000, 0.5000, 0.5000)  0.19
Tc (0.5000, 0.0000, 0.5000)  -0.25
Tc (0.0000, 0.5000, 0.0000)  -0.25
Ca (0.0137, 0.9313, 0.2512)  0.00
Ca (0.9863, 0.0687, 0.7488)  0.00
Ca (0.5137, 0.5687, 0.7512)  0.00
Ca (0.4863, 0.4313, 0.2488)  0.00

No. 17
Computed, not measured: a relaxed Sr4LaIn crystal at the GGA-PBE level of DFT.

Output
space group = F-43m
ΔH_f (0 K) = 0.344 eV per atom
theoretical density = 3.7 g/cm3
volume = 45.46 A^3/atom

Cell lengths 7.2795, 7.2795, 7.2795 Å; angles 60.00, 60.00, 60.00 degrees
Each line ends with the local moment (μB).
Positions (direct):
Sr (0.3748, 0.3748, 0.8757)  0.06
Sr (0.8757, 0.3748, 0.3748)  0.06
Sr (0.3748, 0.3748, 0.3748)  0.06
Sr (0.3748, 0.8757, 0.3748)  0.06
La (0.0000, 0.0000, 0.0000)  0.27
In (0.7500, 0.7500, 0.7500)  0.02

No. 18
Computed, not measured: a relaxed AcPuSiHg crystal at the GGA-PBE level of DFT.

Output
space group = F-43m
theoretical density = 10.5 g/cm3
formation energy (no corrections) = -0.23 eV per atom
volume = 27.74 A^3/atom

Cell lengths 5.3936, 5.3936, 5.3936 Å; angles 60.00, 60.00, 60.00 degrees
Each line ends with the local moment (μB).
Positions (direct):
Si (0.7500, 0.7500, 0.7500)  -0.05
Hg (0.2500, 0.2500, 0.2500)  0.08
Pu (0.0000, 0.0000, 0.0000)  5.64
Ac (0.5000, 0.5000, 0.5000)  0.18

No. 19
Computed, not measured: a relaxed HoHfSc2N4 crystal at the GGA-PBE level of DFT.

Output
space group = P2/m
theoretical density = 8.3 g/cm3
formation energy (no corrections) = -1.86 eV per atom
volume = 12.24 A^3/atom

Cell lengths 3.2597, 5.6646, 5.6220 Å; angles 109.36, 90.00, 90.00 degrees
Positions (direct):
N (0.0000, 0.2359, 0.7446)
N (0.5000, 0.7612, 0.7514)
N (0.0000, 0.7641, 0.2554)
N (0.5000, 0.2388, 0.2486)
Hf (0.0000, 0.0000, 0.0000)
Ho (0.5000, 0.5000, 0.0000)
Sc (0.5000, 0.0000, 0.5000)
Sc (0.0000, 0.5000, 0.5000)